Ce2Co3As4Pt | GGA-PBE | optimized geometry

Cell lengths 4.1990, 4.1990, 9.5524 Å; angles 90.00, 90.00, 90.00 degrees
With the nearest neighbours (Å) after each atom.
Atoms (fractional coordinates):
Pt: 0.5000 0.5000 0.5000  4 As 2.53
Ce: 0.0000 0.5000 0.7574  8 As 3.13-3.15, 7 Co 3.23-3.38, 2 Pt 3.23
Ce: 0.5000 0.0000 0.2426  8 As 3.13-3.15, 7 Co 3.23-3.38, 2 Pt 3.23
Co: 0.5000 0.0000 0.8892  5 As 2.31-2.35
As: 0.0000 0.5000 0.3528  3 Co 2.31-2.53, 2 Pt 2.53
As: 0.5000 0.0000 0.6472  3 Co 2.31-2.53, 2 Pt 2.53
Co: 0.0000 0.0000 0.5000  4 As 2.53
As: 0.5000 0.5000 0.0000  4 Co 2.35
Co: 0.0000 0.5000 0.1108  5 As 2.31-2.35
As: 0.0000 0.0000 0.0000  4 Co 2.35

Output
- Crystal system: tetragonal
- Formation energy: -0.82 eV/atom
- M_tot: 1.6 μB per formula unit
- Space group: P-4m2
- DOS at the Fermi energy: 6.207 states/eV/f.u.

***

Ce2CoAs3Rh4 | GGA-PBE | optimized geometry

Cell lengths 4.1492, 4.1492, 10.2988 Å; angles 90.00, 90.00, 90.00 degrees
With the nearest neighbours (Å) after each atom.
Atoms (fractional coordinates):
Ce: 0.0000 0.5000 0.7429  8 Rh 3.16-3.36, 6 As 3.18-3.25, 2 Co 3.25
Rh: 0.0000 0.5000 0.3712  3 As 2.41-2.46, 2 Co 2.46
Rh: 0.5000 0.0000 0.6288  3 As 2.41-2.46, 2 Co 2.46
Co: 0.5000 0.5000 0.5000  4 Rh 2.46
Rh: 0.5000 0.5000 0.0000  4 As 2.51
As: 0.5000 0.0000 0.8628  5 Rh 2.41-2.51
As: 0.0000 0.0000 0.5000  4 Rh 2.46
Rh: 0.0000 0.0000 0.0000  4 As 2.51
As: 0.0000 0.5000 0.1372  5 Rh 2.41-2.51
Ce: 0.5000 0.0000 0.2571  8 Rh 3.16-3.36, 6 As 3.18-3.25, 2 Co 3.25

Output
- Crystal system: tetragonal
- Formation energy: -0.80 eV/atom
- M_tot: 1.3 μB per formula unit
- Space group: P-4m2
- DOS at the Fermi energy: 13.201 states/eV/f.u.

***

Ce2Co3As4Rh | GGA-PBE | optimized geometry

Cell lengths 4.1889, 4.1889, 9.4348 Å; angles 90.00, 90.00, 90.00 degrees
With the nearest neighbours (Å) after each atom.
Atoms (fractional coordinates):
As: 0.5000 0.0000 0.6417  3 Co 2.32-2.48, 2 Rh 2.48
As: 0.5000 0.5000 0.0000  4 Co 2.35
As: 0.0000 0.5000 0.3583  3 Co 2.32-2.48, 2 Rh 2.48
Co: 0.5000 0.0000 0.8877  5 As 2.32-2.35
Rh: 0.5000 0.5000 0.5000  4 As 2.48
Ce: 0.0000 0.5000 0.7536  8 As 3.13-3.14, 7 Co 3.18-3.38, 2 Rh 3.18
Co: 0.0000 0.0000 0.5000  4 As 2.48
Ce: 0.5000 0.0000 0.2464  8 As 3.13-3.14, 7 Co 3.18-3.38, 2 Rh 3.18
As: 0.0000 0.0000 0.0000  4 Co 2.35
Co: 0.0000 0.5000 0.1123  5 As 2.32-2.35

Output
- Crystal system: tetragonal
- Formation energy: -0.84 eV/atom
- M_tot: 0.9 μB per formula unit
- Space group: P-4m2
- DOS at the Fermi energy: 5.499 states/eV/f.u.

***

Ce3Co2As4Ru2 | GGA-PBE | optimized geometry

Cell lengths 4.0840, 4.0840, 14.5134 Å; angles 90.00, 90.00, 120.00 degrees
With the nearest neighbours (Å) after each atom.
Atoms (fractional coordinates):
As: 0.3333 0.6667 0.8714  3 Co 2.38
Ce: 0.0000 0.0000 0.2643  3 Co 2.90, 6 As 3.01-3.07
As: 0.3333 0.6667 0.3934  4 Ru 2.44-2.48
Ru: 0.3333 0.6667 0.5639  4 As 2.44-2.48
As: 0.6667 0.3333 0.6066  4 Ru 2.44-2.48
Co: 0.6667 0.3333 0.8515  3 As 2.38
Ce: 0.0000 0.0000 0.0000  6 As 3.01, 6 Co 3.19
As: 0.6667 0.3333 0.1286  3 Co 2.38
Ru: 0.6667 0.3333 0.4361  4 As 2.44-2.48
Ce: 0.0000 0.0000 0.7357  3 Co 2.90, 6 As 3.01-3.07
Co: 0.3333 0.6667 0.1485  3 As 2.38

Output
- Crystal system: trigonal
- Formation energy: -0.79 eV/atom
- M_tot: 0.0 μB per formula unit
- Space group: P-3m1
- DOS at the Fermi energy: 10.997 states/eV/f.u.

***

Ce2Co3As4Ru | GGA-PBE | optimized geometry

Cell lengths 4.1577, 4.1577, 9.5025 Å; angles 90.00, 90.00, 90.00 degrees
With the nearest neighbours (Å) after each atom.
Atoms (fractional coordinates):
As: 0.0000 0.0000 0.0000  4 Co 2.34
As: 0.0000 0.5000 0.3588  3 Co 2.33-2.47, 2 Ru 2.47
As: 0.5000 0.0000 0.6412  3 Co 2.33-2.47, 2 Ru 2.47
Ru: 0.5000 0.5000 0.5000  4 As 2.47
As: 0.5000 0.5000 0.0000  4 Co 2.34
Co: 0.5000 0.0000 0.8862  5 As 2.33-2.34
Ce: 0.0000 0.5000 0.7545  8 As 3.12-3.13, 7 Co 3.19-3.41, 2 Ru 3.19
Ce: 0.5000 0.0000 0.2455  8 As 3.12-3.13, 2 Ru 3.19, 7 Co 3.19-3.41
Co: 0.0000 0.5000 0.1138  5 As 2.33-2.34
Co: 0.0000 0.0000 0.5000  4 As 2.47

Output
- Crystal system: tetragonal
- Formation energy: -0.79 eV/atom
- M_tot: 0.0 μB per formula unit
- Space group: P-4m2
- DOS at the Fermi energy: 4.532 states/eV/f.u.

***

Ce2CoAs4Ru3 | GGA-PBE | optimized geometry

Cell lengths 4.2433, 4.2433, 9.8527 Å; angles 90.00, 90.00, 90.00 degrees
With the nearest neighbours (Å) after each atom.
Atoms (fractional coordinates):
As: 0.5000 0.5000 0.0000  4 Ru 2.45
As: 0.0000 0.5000 0.3699  3 Ru 2.43-2.48, 2 Co 2.48
Ce: 0.5000 0.0000 0.2487  8 As 3.23-3.24, 6 Ru 3.24-3.26, 2 Co 3.26
Co: 0.5000 0.5000 0.5000  4 As 2.48
Ru: 0.5000 0.0000 0.8762  5 As 2.43-2.45
As: 0.0000 0.0000 0.0000  4 Ru 2.45
Ce: 0.0000 0.5000 0.7513  8 As 3.23-3.24, 6 Ru 3.24-3.26, 2 Co 3.26
Ru: 0.0000 0.0000 0.5000  4 As 2.48
As: 0.5000 0.0000 0.6301  3 Ru 2.43-2.48, 2 Co 2.48
Ru: 0.0000 0.5000 0.1238  5 As 2.43-2.45

Output
- Crystal system: tetragonal
- Formation energy: -0.68 eV/atom
- M_tot: 0.0 μB per formula unit
- Space group: P-4m2
- DOS at the Fermi energy: 9.725 states/eV/f.u.

***

CeCoAs2Ru | GGA-PBE | optimized geometry

Cell lengths 3.9946, 3.9946, 6.1770 Å; angles 108.87, 108.87, 90.00 degrees
With the nearest neighbours (Å) after each atom.
Atoms (fractional coordinates):
Ce: 0.0000 0.0000 0.0000  8 As 3.16, 4 Co 3.40, 4 Ru 3.40
Ru: 0.2500 0.7500 0.5000  4 As 2.40
As: 0.3707 0.3707 0.7413  2 Co 2.40, 2 Ru 2.40
Co: 0.7500 0.2500 0.5000  4 As 2.40
As: 0.6293 0.6293 0.2587  2 Ru 2.40, 2 Co 2.40

Output
- Crystal system: tetragonal
- Formation energy: -0.69 eV/atom
- M_tot: 0.6 μB per formula unit
- Space group: I-4m2
- DOS at the Fermi energy: 7.146 states/eV/f.u.

***

Ce2TiCo3As4 | GGA-PBE | optimized geometry

Cell lengths 4.1548, 4.1548, 9.8507 Å; angles 90.00, 90.00, 90.00 degrees
With the nearest neighbours (Å) after each atom.
Atoms (fractional coordinates):
Ti: 0.5000 0.5000 0.5000  4 As 2.54
Co: 0.5000 0.0000 0.8897  5 As 2.34-2.38
As: 0.0000 0.5000 0.3515  3 Co 2.38-2.54, 2 Ti 2.54
As: 0.0000 0.0000 0.0000  4 Co 2.34
Ce: 0.5000 0.0000 0.2335  8 As 3.10-3.16, 7 Co 3.18-3.39, 2 Ti 3.35
As: 0.5000 0.0000 0.6485  3 Co 2.38-2.54, 2 Ti 2.54
Ce: 0.0000 0.5000 0.7665  8 As 3.10-3.16, 7 Co 3.18-3.39, 2 Ti 3.35
As: 0.5000 0.5000 0.0000  4 Co 2.34
Co: 0.0000 0.0000 0.5000  4 As 2.54
Co: 0.0000 0.5000 0.1103  5 As 2.34-2.38

Output
- Crystal system: tetragonal
- Formation energy: -0.80 eV/atom
- M_tot: 1.3 μB per formula unit
- Space group: P-4m2
- DOS at the Fermi energy: 10.309 states/eV/f.u.

***

Ce2CrNi3As4 | GGA-PBE | optimized geometry

Cell lengths 4.2482, 4.2482, 9.5472 Å; angles 90.00, 90.00, 90.00 degrees
With the nearest neighbours (Å) after each atom.
Atoms (fractional coordinates):
Ni: 0.5000 0.0000 0.8865  5 As 2.37-2.38
Ce: 0.5000 0.0000 0.2417  8 As 3.14-3.21, 7 Ni 3.24-3.39, 2 Cr 3.25
Ce: 0.0000 0.5000 0.7583  8 As 3.14-3.21, 7 Ni 3.24-3.39, 2 Cr 3.25
As: 0.5000 0.0000 0.6383  3 Ni 2.37-2.50, 2 Cr 2.50
As: 0.5000 0.5000 0.0000  4 Ni 2.38
Ni: 0.0000 0.5000 0.1135  5 As 2.37-2.38
Ni: 0.0000 0.0000 0.5000  4 As 2.50
Cr: 0.5000 0.5000 0.5000  4 As 2.50
As: 0.0000 0.0000 0.0000  4 Ni 2.38
As: 0.0000 0.5000 0.3617  3 Ni 2.37-2.50, 2 Cr 2.50

Output
- Crystal system: tetragonal
- Formation energy: -0.74 eV/atom
- M_tot: 5.1 μB per formula unit
- Space group: P-4m2
- DOS at the Fermi energy: 12.214 states/eV/f.u.

***

Number 1: electronic total energy -0.4852 Ry/atom. Number 2: electronic total energy -0.5167 Ry/atom. Number 3: electronic total energy -0.4960 Ry/atom. Number 4: electronic total energy -0.5204 Ry/atom. Number 5: electronic total energy -0.5066 Ry/atom. Number 6: electronic total energy -0.5307 Ry/atom. Number 7: electronic total energy -0.5151 Ry/atom. Number 8: electronic total energy -0.4975 Ry/atom. Number 9: electronic total energy -0.4765 Ry/atom.